Record 1
Compound: PaZnPt
Source: Alexandria
Functional: PBE-GGA
Structure: relaxed

Calculated values
E_form: -1.55 eV/f.u.
Total magnetization: 0.002 μB per formula unit

Structure (CIF):
```
data_PaZnPt
_chemical_formula_sum 'Pa4 Zn4 Pt4'
_cell_length_a 6.494
_cell_length_b 6.494
_cell_length_c 6.494
_cell_angle_alpha 90.00
_cell_angle_beta 90.00
_cell_angle_gamma 90.00
_symmetry_space_group_name_H-M 'F -4 3 m'
_symmetry_Int_Tables_number 216
_symmetry_space_group_name_Hall 'F -4 2 3'
loop_
_atom_site_label
_atom_site_type_symbol
_atom_site_fract_x
_atom_site_fract_y
_atom_site_fract_z
_atom_site_occupancy
Pa1 Pa 0.000 0.000 0.000 1
Zn1 Zn 0.000 0.000 0.500 1
Pt1 Pt 0.250 0.250 0.750 1
```

Record 2
Compound: ZnSbI2O
Source: Alexandria
Functional: PBE-GGA
Structure: relaxed

Calculated values
Offset from the most stable computed form: 0.407 eV per atom
ΔE_f (raw): 23.77 kJ/mol of atoms
Total magnetization: 0.000 μB per formula unit

Structure (CIF):
```
data_ZnSbI2O
_chemical_formula_sum 'Zn1 Sb1 I2 O1'
_cell_length_a 6.226
_cell_length_b 6.226
_cell_length_c 4.033
_cell_angle_alpha 90.00
_cell_angle_beta 90.00
_cell_angle_gamma 90.00
_symmetry_space_group_name_H-M 'P 4/m m m'
_symmetry_Int_Tables_number 123
_symmetry_space_group_name_Hall '-P 4 2'
loop_
_atom_site_label
_atom_site_type_symbol
_atom_site_fract_x
_atom_site_fract_y
_atom_site_fract_z
_atom_site_occupancy
Zn1 Zn 0.000 0.000 0.000 1
Sb1 Sb 0.500 0.500 0.000 1
I1 I 0.000 0.500 0.500 1
O1 O 0.500 0.500 0.500 1
```

Record 3
Compound: Fe3PbCl12
Source: Alexandria
Functional: PBE-GGA
Structure: relaxed

Calculated values
ΔE_f (raw): -73.97 kJ/mol of atoms
Total magnetization: 14.000 μB per formula unit

Structure (CIF):
```
data_Fe3PbCl12
_chemical_formula_sum 'Fe18 Pb6 Cl72'
_cell_length_a 11.0121
_cell_length_b 11.0121
_cell_length_c 33.9717
_cell_angle_alpha 90.00
_cell_angle_beta 90.00
_cell_angle_gamma 120.00
_symmetry_space_group_name_H-M 'R 3 c'
_symmetry_Int_Tables_number 161
_symmetry_space_group_name_Hall 'R 3 -2"c'
loop_
_atom_site_label
_atom_site_type_symbol
_atom_site_fract_x
_atom_site_fract_y
_atom_site_fract_z
_atom_site_occupancy
Fe1 Fe 0.0076 0.3724 0.0000 1
Pb1 Pb 0.0000 0.0000 0.2114 1
Cl1 Cl 0.0578 0.5225 0.6762 1
Cl2 Cl 0.0916 0.5194 0.9512 1
Cl3 Cl 0.1083 0.5524 0.3204 1
Cl4 Cl 0.1419 0.3421 0.3886 1
```

Record 4
Compound: SmMnP2Rh
Source: Alexandria
Functional: PBE-GGA
Structure: relaxed

Calculated values
E_form: -4.95 eV/f.u.
Total magnetization: 0.000 μB per formula unit

Structure (CIF):
```
data_SmMnP2Rh
_chemical_formula_sum 'Sm2 Mn2 P4 Rh2'
_cell_length_a 3.987
_cell_length_b 3.987
_cell_length_c 9.801
_cell_angle_alpha 90.00
_cell_angle_beta 90.00
_cell_angle_gamma 90.00
_symmetry_space_group_name_H-M 'I -4 m 2'
_symmetry_Int_Tables_number 119
_symmetry_space_group_name_Hall 'I -4 -2'
loop_
_atom_site_label
_atom_site_type_symbol
_atom_site_fract_x
_atom_site_fract_y
_atom_site_fract_z
_atom_site_occupancy
Sm1 Sm 0.000 0.000 0.000 1
Mn1 Mn 0.000 0.500 0.250 1
P1 P 0.000 0.000 0.371 1
Rh1 Rh 0.000 0.500 0.750 1
```